Below is a geometry-optimized CaCd2Re structure, with properties calculated at the PBE level.

a = 10.469 Å, b = 10.469 Å, c = 10.469 Å
α = 16.66°, β = 16.66°, γ = 16.66°
Fractional positions:
Ca 0.750 0.750 0.750
Cd 0.507 0.507 0.507
Re 0.250 0.250 0.250
Cd 0.993 0.993 0.993

## Properties
Its space-group type is R-3m. The crystal system is trigonal. The value obtained for the offset from the most stable computed form is 0.177 eV per atom. The size of the total moment comes out at 0.051 μB/f.u.

Below is a geometry-optimized Mg2Sb structure, with properties calculated at the PBE level.

a = 8.355 Å, b = 8.355 Å, c = 5.614 Å
α = 90.00°, β = 90.00°, γ = 157.54°
Fractional positions:
Mg 0.372 0.628 0.250
Sb 0.307 0.693 0.750
Mg 0.628 0.372 0.750
Mg 0.041 0.959 0.250
Mg 0.959 0.041 0.750
Sb 0.693 0.307 0.250

## Properties
Its space-group type is Cmcm. The crystal system is orthorhombic. The calculation puts the formation energy without anion corrections at -73 meV/atom. The size of the total moment comes out at 0.000 μB/f.u.

Below is a geometry-optimized Cd2SnTe2 structure, with properties calculated at the PBE level.

a = 4.242 Å, b = 4.242 Å, c = 8.670 Å
α = 75.84°, β = 75.84°, γ = 90.00°
Fractional positions:
Sn 0.000 0.000 0.000
Cd 0.750 0.250 0.500
Cd 0.250 0.750 0.500
Te 0.399 0.399 0.202
Te 0.601 0.601 0.798

## Properties
Its space-group type is I4/mmm. The crystal system is tetragonal. The value obtained for the offset from the most stable computed form is 0.055 eV per atom. The calculation puts the formation energy without anion corrections at -2 meV/atom. The size of the total moment comes out at 0.000 μB/f.u.

Below is a geometry-optimized Tb7Pm3Nd2 structure, with properties calculated at the PBE level.

a = 3.557 Å, b = 6.400 Å, c = 18.145 Å
α = 75.68°, β = 90.00°, γ = 90.00°
Fractional positions:
Tb 0.000 0.562 0.164
Pm 0.000 0.112 0.340
Nd 0.500 0.384 0.673
Tb 0.000 0.000 0.000
Tb 0.500 0.940 0.834
Tb 0.000 0.438 0.836
Pm 0.000 0.888 0.660
Tb 0.500 0.060 0.166
Nd 0.500 0.616 0.327
Pm 0.500 0.500 0.000
Tb 0.500 0.244 0.500
Tb 0.500 0.756 0.500

## Properties
Its space-group type is P2/m. The crystal system is monoclinic. The value obtained for the offset from the most stable computed form is 0.000 eV per atom. The size of the total moment comes out at 0.000 μB/f.u.

Below is a geometry-optimized Tb2Pm4Ge3O2 structure, with properties calculated at the PBE level.

a = 4.668 Å, b = 4.668 Å, c = 12.502 Å
α = 100.76°, β = 100.76°, γ = 90.00°
Fractional positions:
Pm 0.419 0.919 0.838
Pm 0.581 0.081 0.162
Tb 0.301 0.301 0.602
Tb 0.699 0.699 0.398
Pm 0.919 0.419 0.838
Ge 0.000 0.000 0.000
O 0.395 0.395 0.790
Pm 0.081 0.581 0.162
Ge 0.177 0.177 0.354
O 0.605 0.605 0.210
Ge 0.823 0.823 0.646

## Properties
Its space-group type is I4/mmm. The crystal system is tetragonal. The calculation puts the formation energy without anion corrections at -1500 meV/atom. The size of the total moment comes out at 0.000 μB/f.u.

Below is a geometry-optimized KNiAs2 structure, with properties calculated at the PBE level.

a = 3.280 Å, b = 3.500 Å, c = 7.587 Å
α = 90.00°, β = 90.00°, γ = 90.00°
Fractional positions:
K 0.000 0.000 0.500
As 0.500 0.500 0.186
As 0.000 0.000 0.937
Ni 0.500 0.500 0.877

## Properties
Its space-group type is Pmm2. The crystal system is orthorhombic. The value obtained for the offset from the most stable computed form is 0.378 eV per atom. The size of the total moment comes out at 0.000 μB/f.u.

Below is a geometry-optimized TaBiN2O structure, with properties calculated at the PBE level.

a = 4.165 Å, b = 4.165 Å, c = 3.923 Å
α = 90.00°, β = 90.00°, γ = 90.00°
Fractional positions:
Ta 0.000 0.000 0.000
N 0.000 0.500 0.000
O 0.000 0.000 0.500
N 0.500 0.000 0.000
Bi 0.500 0.500 0.500

## Properties
Its space-group type is P4/mmm. The crystal system is tetragonal. The calculation puts the formation energy without anion corrections at -658 meV/atom. The size of the total moment comes out at 0.000 μB/f.u.

Below is a geometry-optimized NaAsSe2O structure, with properties calculated at the PBE level.

a = 4.756 Å, b = 4.756 Å, c = 4.272 Å
α = 90.00°, β = 90.00°, γ = 90.00°
Last column: magnetic moment on the atom in μB.
Fractional positions:
O 0.000 0.000 0.000  0.08
Se 0.500 0.000 0.000  0.04
Na 0.500 0.500 0.500  0.00
Se 0.000 0.500 0.000  0.04
As 0.000 0.000 0.500  0.27

## Properties
Its space-group type is P4/mmm. The crystal system is tetragonal. The value obtained for the offset from the most stable computed form is 0.000 eV per atom. The calculation puts the formation energy without anion corrections at 58 meV/atom. The size of the total moment comes out at 0.802 μB/f.u.

D(E_F), record by record: 0.873 0.566 0.362 1.478 0.537 0.675 0.045 0.708 states/eV/atom
Calculated density, record by record: 9.11 3.78 6.79 7.62 7.25 4.72 10.59 4.67 g cm⁻³